4
Lattice="1.530 0.000 7.876 -0.765 1.325 7.876 -0.765 -1.325 7.876" Properties=species:S:1:pos:R:3 comment="ReNiF2, optimized geometry, DFT PBE with a Hubbard U" n_ef_per_ev_cell=1.8 magnetic_moment_mub_per_fu=0.94 de_polymorph_mev_per_atom=442.8 e_tot_ev_per_atom=-4.96 pbc="T T T"
Re 0.000 0.000 11.813
F 0.000 0.000 21.644
F 0.000 0.000 1.983
Ni 0.000 0.000 0.000